# Dy4MgCd7

A relaxed structure of Dy4MgCd7 (GGA-PBE, the Alexandria database).

Output
E in eV/atom: -2.3095
Spin magnetization in μB/cell: 0.0
SG: C2/m, No. 12
Energy of formation from the pure elements in eV per atom: -0.11

Unit cell a=6.6631 b=6.6631 c=11.2854 alpha=117.69 beta=117.69 gamma=47.66
Fractional positions:
Dy1 0.0881 0.0881 0.2774
Dy2 0.2428 0.2428 0.8199
Dy3 0.7572 0.7572 0.1801
Dy4 0.9119 0.9119 0.7226
Mg1 0.5000 0.5000 0.5000
Cd1 0.0000 0.0000 0.5000
Cd2 0.1325 0.1325 0.0209
Cd3 0.2988 0.2988 0.5786
Cd4 0.4249 0.4249 0.1641
Cd5 0.5751 0.5751 0.8359
Cd6 0.7012 0.7012 0.4214
Cd7 0.8675 0.8675 0.9791